This record from Alexandria via LeMat-Bulk describes Hf2BHRh6 after structural relaxation. The functional is PBE.

Cell: 5.7342 5.7342 8.0934 Å, 90.00 90.00 90.00°
With the nearest neighbours (Å) after each atom.
Space group I4/mmm (No. 139)
Symmetry-distinct sites (fractional):
Hf1 0.0000 0.5000 0.2500 x4  12 Rh 2.86-2.87
B1 0.0000 0.0000 0.0000 x2  6 Rh 2.06
H1 0.0000 0.0000 0.5000 x2  6 Rh 1.98-1.99
Rh1 0.0000 0.0000 0.2549 x4  1 H 1.98, 1 B 2.06
Rh2 0.2454 0.2454 0.5000 x8  1 H 1.99, 1 B 2.06

Summary:
The volume is 133.1 Å³/f.u. Its total magnetic moment is 0.00 μB/cell. The value obtained for the total energy is -8.2052 eV/atom.

***

This record from Alexandria via LeMat-Bulk describes Ca2TaHg after structural relaxation. The functional is PBE.

Cell: 10.8716 3.2721 5.7542 Å, 90.00 102.05 90.00°
With the nearest neighbours (Å) after each atom.
Space group C2/m (No. 12)
Symmetry-distinct sites (fractional):
Ca1 0.2440 0.0000 0.2547 x4  3 Hg 3.20-3.41, 6 Ca 3.24-3.38, 3 Ta 3.25-3.28
Ta1 0.0000 0.0000 0.5000 x2  6 Ca 3.25-3.28, 2 Ta 3.27, 4 Hg 3.31
Hg1 0.0000 0.5000 0.0000 x2  6 Ca 3.20-3.41, 2 Hg 3.27, 4 Ta 3.31

Summary:
The formation energy is 0.515 eV per atom. The volume is 100.1 Å³/f.u. Its total magnetic moment is 0.56 μB/cell.

***

This record from Alexandria via LeMat-Bulk describes SrZn2Cl after structural relaxation. The functional is PBE.

Cell: 7.3690 7.3690 7.3690 Å, 90.00 90.00 90.00°
With the nearest neighbours (Å) after each atom.
Space group F-43m (No. 216)
Symmetry-distinct sites (fractional):
Sr1 0.0000 0.0000 0.0000 x4  4 Cl 3.19, 4 Zn 3.19
Zn1 0.0000 0.0000 0.5000 x4  4 Cl 3.19, 4 Zn 3.19
Zn2 0.2500 0.2500 0.2500 x4  4 Sr 3.19, 4 Zn 3.19
Cl1 0.2500 0.2500 0.7500 x4  4 Sr 3.19, 4 Zn 3.19

Summary:
The volume is 100.0 Å³/f.u. Its total magnetic moment is 0.00 μB/cell. The energy relative to the elements, uncorrected comes out at -0.48 eV/atom.